# NbGaGeMo2, optimized geometry, DFT PBE
data_NbGaGeMo2
_cell_length_a 4.671
_cell_length_b 4.671
_cell_length_c 4.417
_cell_angle_alpha 90.00
_cell_angle_beta 90.00
_cell_angle_gamma 90.00
_space_group_name_H-M_alt 'P 1'
_space_group_IT_number 1
_space_group_name_Hall 'P 1'
loop_
_atom_site_label
_atom_site_type_symbol
_atom_site_fract_x
_atom_site_fract_y
_atom_site_fract_z
_atom_site_occupancy
Nb1 Nb 0.000 0.000 0.000 1
Ga1 Ga 0.500 0.500 0.000 1
Ge1 Ge 0.500 0.500 0.500 1
Mo1 Mo 0.000 0.500 0.500 1
Mo2 Mo 0.500 0.000 0.500 1
# E_form, eV per atom: 1.22
# N(E_F), states/eV per cell: 4.2
# Symmetry: No. 123